Below is a relaxed Ac2LaYS6 crystal, with properties calculated at the PBE-GGA level.

## Properties
ρ: 5.19 g cm⁻³
Uncorrected energy: -6.58 eV per atom
M_tot: 0.000 μB per formula unit

Cell and atoms, written as CIF:
```
data_Ac2LaYS6
_cell_length_a 7.0720
_cell_length_b 7.6479
_cell_length_c 12.4753
_cell_angle_alpha 90.00
_cell_angle_beta 123.91
_cell_angle_gamma 90.00
_space_group_name_H-M_alt 'P 1 21/c 1'
_space_group_IT_number 14
_space_group_name_Hall '-P 2ybc'
loop_
_atom_site_label
_atom_site_type_symbol
_atom_site_fract_x
_atom_site_fract_y
_atom_site_fract_z
Ac1 Ac 0.2178 0.0840 0.2496
La1 La 0.5000 0.0000 0.0000
Y1 Y 0.0000 0.0000 0.5000
S1 S 0.1060 0.1957 0.9271
S2 S 0.2380 0.6863 0.9295
S3 S 0.3829 0.0564 0.7430
```